This record from Alexandria via LeMat-Bulk describes crystalline Li4Ti3Ni2Sn3O16 at its relaxed geometry. The functional is PBE with a Hubbard U.

Results
Spin magnetization (μB per cell): 4.0
Calculated volume (Å³ per cell): 316.6
Total DFT energy (no corrections) (eV for the cell shown): -185.37

a = 6.123 Å, b = 6.123 Å, c = 9.783 Å
α = 90.04°, β = 90.04°, γ = 59.68°
Element x y z (fractional)
Li 0.000 0.000 0.000
Li 0.008 0.008 0.506
Li 0.321 0.321 0.616
Li 0.655 0.655 0.110
Ti 0.161 0.161 0.282
Ti 0.328 0.820 0.786
Ti 0.820 0.328 0.786
Ni 0.323 0.323 0.010
Ni 0.657 0.657 0.513
Sn 0.161 0.654 0.289
Sn 0.654 0.161 0.289
Sn 0.820 0.820 0.788
O 0.025 0.464 0.167
O 0.151 0.151 0.890
O 0.158 0.676 0.899
O 0.315 0.843 0.396
O 0.318 0.318 0.405
O 0.464 0.025 0.167
O 0.473 0.473 0.162
O 0.498 0.952 0.668
O 0.509 0.509 0.675
O 0.648 0.648 0.900
O 0.676 0.158 0.899
O 0.837 0.837 0.408
O 0.843 0.315 0.396
O 0.952 0.498 0.668
O 0.996 0.996 0.688
O 0.997 0.997 0.183